Entry 1:
A plane-wave DFT calculation with PBE was carried out for a relaxed structure of Co4NiSe.

Summary:
- Total DFT energy (no corrections): -141.33 eV per cell
- Formation energy (no corrections): 0.39 eV per atom

Cell: 6.7363 6.7363 6.7363 Å, 90.00 90.00 90.00°
Space group F-43m (No. 216)
One atom of each set of equivalent atoms:
Co  0.1242  0.1242  0.1242 [16 per cell]
Ni  0.2500  0.2500  0.7500 [4 per cell]
Se  0.0000  0.0000  0.5000 [4 per cell]



Entry 2:
A plane-wave DFT calculation with PBE was carried out for a relaxed structure of ZrGeSb3.

Summary:
- Total DFT energy (no corrections): -23.04 eV per cell
- Formation energy (no corrections): 0.50 eV per atom

Cell: 5.5295 5.5295 5.5295 Å, 90.00 90.00 90.00°
Space group Pm-3m (No. 221)
One atom of each set of equivalent atoms:
Zr  0.0000  0.0000  0.0000 [1 per cell]
Ge  0.5000  0.5000  0.5000 [1 per cell]
Sb  0.0000  0.0000  0.5000 [3 per cell]



Entry 3:
A plane-wave DFT calculation with PBE was carried out for a relaxed structure of NaGaH2.

Summary:
- Total DFT energy (no corrections): -39.41 eV per cell

Cell: 5.9166 5.9166 5.9166 Å, 90.00 90.00 90.00°
Space group Fm-3m (No. 225)
One atom of each set of equivalent atoms:
Na  0.0000  0.0000  0.0000 [4 per cell]
Ga  0.0000  0.0000  0.5000 [4 per cell]
H  0.2500  0.2500  0.2500 [8 per cell]



Entry 4:
A plane-wave DFT calculation with PBE was carried out for a relaxed structure of MgNi2Hg2.

Summary:
- Total DFT energy (no corrections): -27.33 eV per cell
- Formation energy: 0.1 eV per formula unit

Cell: 6.7987 6.7987 3.6515 Å, 90.00 90.00 90.00°
Space group P4/mbm (No. 127)
One atom of each set of equivalent atoms:
Mg  0.0000  0.0000  0.0000 [2 per cell]
Ni  0.1260  0.3740  0.0000 [4 per cell]
Hg  0.1717  0.6717  0.5000 [4 per cell]



Entry 5:
A plane-wave DFT calculation with PBE was carried out for a relaxed structure of Co2SiNi.

Summary:
- Total DFT energy (no corrections): -77.43 eV per cell
- Formation energy (no corrections): -0.10 eV per atom

Cell: 2.5732 2.5732 23.0053 Å, 90.00 90.00 120.00°
Space group R-3m (No. 166, hexagonal axes)
One atom of each set of equivalent atoms:
Co  0.0000  0.0000  0.2454 [6 per cell]
Si  0.0000  0.0000  0.5000 [3 per cell]
Ni  0.0000  0.0000  0.0000 [3 per cell]



Entry 6:
A plane-wave DFT calculation with PBE was carried out for a relaxed structure of Sm2MgGa3Ir4.

Summary:
- Total DFT energy (no corrections): -62.23 eV per cell
- Formation energy: -6.7 eV per formula unit

Cell: 4.2087 4.2087 10.6862 Å, 90.00 90.00 90.00°
Space group P-4m2 (No. 115)
One atom of each set of equivalent atoms:
Sm  0.0000  0.5000  0.2359 [2 per cell]
Mg  0.0000  0.0000  0.5000 [1 per cell]
Ga  0.0000  0.5000  0.8750 [2 per cell]
Ga  0.5000  0.5000  0.5000 [1 per cell]
Ir  0.0000  0.0000  0.0000 [1 per cell]
Ir  0.0000  0.5000  0.6438 [2 per cell]
Ir  0.5000  0.5000  0.0000 [1 per cell]